Material: Dy3Ga4Ge2
Method: DFT, PBE
State: relaxed

It has space group C2/m (No. 12), with a = 11.020 Å, b = 4.181 Å, c = 8.338 Å, α = 90.00°, β = 100.69° and γ = 90.00°. The distinct sites, in fractional coordinates, are Dy at (0.000, 0.000, 0.000), Dy at (0.168, 0.500, 0.667), Ga at (0.026, 0.000, 0.363), Ga at (0.201, 0.500, 0.031) and Ge at (0.133, 0.500, 0.300).

The calculation puts the energy relative to the elements at -0.64 eV/atom. The value obtained for the density of states at the Fermi level is 0.2472 states/eV/atom. The calculation puts the magnetization at 0.00 μB/cell. The energy comes out at -0.3343 Ry per atom. The density comes out at 8.02 g/cm³.



Material: Dy4GaGe2
Method: DFT, PBE
State: relaxed

It has space group I-42d (No. 122), with a = 8.864 Å, b = 8.864 Å, c = 8.857 Å, α = 90.00°, β = 90.00° and γ = 90.00°. The distinct sites, in fractional coordinates, are Dy at (0.068, 0.182, 0.309), Ga at (0.000, 0.000, 0.000) and Ge at (0.128, 0.250, 0.625).

The calculation puts the energy relative to the elements at -0.71 eV/atom. The value obtained for the density of states at the Fermi level is 0.9750 states/eV/atom. The calculation puts the magnetization at 0.00 μB/cell. The energy comes out at -0.3739 Ry per atom. The density comes out at 8.26 g/cm³.



Material: DyGa2Ge
Method: DFT, PBE
State: relaxed

It has space group R-3m (No. 166, hexagonal axes), with a = 4.4396 Å, b = 4.4396 Å, c = 14.8657 Å, α = 90.00°, β = 90.00° and γ = 120.00°. The distinct sites, in fractional coordinates, are Dy at (0.0000, 0.0000, 0.0000), Ga at (0.0000, 0.0000, 0.2214) and Ge at (0.0000, 0.0000, 0.5000).

The calculation puts the energy relative to the elements at -0.27 eV/atom. The value obtained for the density of states at the Fermi level is 0.8005 states/eV/atom. The calculation puts the magnetization at 0.00 μB/cell. The energy comes out at -0.3005 Ry per atom. The density comes out at 7.35 g/cm³.



Material: Dy4Ga2Ge5
Method: DFT, PBE
State: relaxed

It has space group P2/m (No. 10), with a = 6.934 Å, b = 4.166 Å, c = 8.141 Å, α = 90.00°, β = 90.10° and γ = 90.00°. The distinct sites, in fractional coordinates, are Dy at (0.236, 0.000, 0.129), Dy at (0.248, 0.000, 0.620), Ga at (0.091, 0.500, 0.372), Ge at (0.120, 0.500, 0.879), Ge at (0.451, 0.500, 0.342) and Ge at (0.500, 0.500, 0.000).

The calculation puts the energy relative to the elements at -0.71 eV/atom. The value obtained for the density of states at the Fermi level is 0.1874 states/eV/atom. The calculation puts the magnetization at 0.00 μB/cell. The energy comes out at -0.3696 Ry per atom. The density comes out at 8.14 g/cm³.



Material: DyGa2Ge
Method: DFT, PBE
State: relaxed

It has space group P4/mmm (No. 123), with a = 4.204 Å, b = 4.204 Å, c = 4.462 Å, α = 90.00°, β = 90.00° and γ = 90.00°. The distinct sites, in fractional coordinates, are Dy at (0.000, 0.000, 0.000), Ga at (0.000, 0.500, 0.500) and Ge at (0.500, 0.500, 0.000).

The calculation puts the energy relative to the elements at -0.50 eV/atom. The value obtained for the density of states at the Fermi level is 0.5469 states/eV/atom. The calculation puts the magnetization at 0.00 μB/cell. The energy comes out at -0.3176 Ry per atom. The density comes out at 7.89 g/cm³.



Material: Dy3GaGe3
Method: DFT, PBE
State: relaxed

It has space group C2/m (No. 12), with a = 10.876 Å, b = 4.207 Å, c = 14.001 Å, α = 90.00°, β = 107.30° and γ = 90.00°. The distinct sites, in fractional coordinates, are Dy at (0.013, 0.000, 0.376), Dy at (0.106, 0.000, 0.923), Dy at (0.234, 0.000, 0.226), Ga at (0.229, 0.500, 0.379), Ge at (0.008, 0.500, 0.223), Ge at (0.118, 0.500, 0.076) and Ge at (0.134, 0.500, 0.542).

The calculation puts the energy relative to the elements at -0.75 eV/atom. The value obtained for the density of states at the Fermi level is 0.5958 states/eV/atom. The calculation puts the magnetization at 0.00 μB/cell. The energy comes out at -0.3775 Ry per atom. The density comes out at 8.42 g/cm³.



Material: Dy3GaGe2
Method: DFT, PBE
State: relaxed

It has space group R-3c (No. 167, hexagonal axes), with a = 7.8038 Å, b = 7.8038 Å, c = 17.4057 Å, α = 90.00°, β = 90.00° and γ = 120.00°. The distinct sites, in fractional coordinates, are Dy at (0.0000, 0.3276, 0.2500), Ga at (0.0000, 0.0000, 0.0000) and Ge at (0.0000, 0.0000, 0.1647).

The calculation puts the energy relative to the elements at -0.64 eV/atom. The value obtained for the density of states at the Fermi level is 0.8417 states/eV/atom. The calculation puts the magnetization at 0.00 μB/cell. The energy comes out at -0.3664 Ry per atom. The density comes out at 7.62 g/cm³.



Material: Dy7GaGe5
Method: DFT, PBE
State: relaxed

It has space group Imm2 (No. 44), with a = 5.891 Å, b = 10.998 Å, c = 9.832 Å, α = 90.00°, β = 90.00° and γ = 90.00°. The distinct sites, in fractional coordinates, are Dy at (0.000, 0.000, 0.000), Dy at (0.000, 0.000, 0.389), Dy at (0.000, 0.328, 0.642), Dy at (0.000, 0.336, 0.096), Dy at (0.000, 0.500, 0.354), Ga at (0.000, 0.000, 0.695), Ge at (0.000, 0.500, 0.863) and Ge at (0.229, 0.263, 0.375).

The calculation puts the energy relative to the elements at -0.51 eV/atom. The value obtained for the density of states at the Fermi level is 0.7867 states/eV/atom. The calculation puts the magnetization at 0.00 μB/cell. The energy comes out at -0.3670 Ry per atom. The density comes out at 8.19 g/cm³.



Material: Dy7Ga2Ge2
Method: DFT, PBE
State: relaxed

It has space group Cmmm (No. 65), with a = 7.817 Å, b = 10.718 Å, c = 7.165 Å, α = 90.00°, β = 90.00° and γ = 90.00°. The distinct sites, in fractional coordinates, are Dy at (0.000, 0.000, 0.000), Dy at (0.000, 0.500, 0.264), Dy at (0.250, 0.250, 0.279), Ga at (0.169, 0.000, 0.500) and Ge at (0.000, 0.289, 0.000).

The calculation puts the energy relative to the elements at -0.35 eV/atom. The value obtained for the density of states at the Fermi level is 0.9269 states/eV/atom. The calculation puts the magnetization at 0.00 μB/cell. The energy comes out at -0.3433 Ry per atom. The density comes out at 7.87 g/cm³.



Material: Dy3GaGe3
Method: DFT, PBE
State: relaxed

It has space group P6_3/m (No. 176), with a = 8.4946 Å, b = 8.4946 Å, c = 5.8816 Å, α = 90.00°, β = 90.00° and γ = 120.00°. The distinct sites, in fractional coordinates, are Dy at (0.0579, 0.6914, 0.2500), Ga at (0.3333, 0.6667, 0.7500) and Ge at (0.0550, 0.6963, 0.7500).

The calculation puts the energy relative to the elements at -0.58 eV/atom. The value obtained for the density of states at the Fermi level is 0.1526 states/eV/atom. The calculation puts the magnetization at 0.00 μB/cell. The energy comes out at -0.3652 Ry per atom. The density comes out at 7.00 g/cm³.



- What is the energy in the fifth record?
  -0.3176 Ry per atom



- density of number 3 (DyGa2Ge)?
  7.35 g/cm³



- Look up the energy relative to the elements of the ninth one.
  -0.35 eV/atom